Crystalline CeSc12In3 at its relaxed geometry, computed with GGA-PBE.

a b c (Å): 4.5511 4.5511 18.3920
angles (deg): 90.00 90.00 90.00
Closest atoms and distances in Å follow each position.
Positions (direct):
In (0.0000, 0.0000, 0.2550)  12 Sc 3.19-3.23
In (0.0000, 0.0000, 0.7450)  12 Sc 3.19-3.23
In (0.0000, 0.0000, 0.5000)  12 Sc 3.21-3.22
Sc (0.0000, 0.5000, 0.6231)  8 Sc 3.18-3.22, 4 In 3.19-3.21
Sc (0.5000, 0.0000, 0.1304)  8 Sc 3.22-3.31, 2 In 3.23, 2 Ce 3.31
Sc (0.5000, 0.0000, 0.3769)  8 Sc 3.18-3.22, 4 In 3.19-3.21
Sc (0.5000, 0.5000, 0.5000)  8 Sc 3.21, 4 In 3.22
Sc (0.5000, 0.0000, 0.6231)  8 Sc 3.18-3.22, 4 In 3.19-3.21
Sc (0.5000, 0.5000, 0.2563)  8 Sc 3.18-3.25, 4 In 3.22
Sc (0.0000, 0.5000, 0.8696)  8 Sc 3.22-3.31, 2 In 3.23, 2 Ce 3.31
Sc (0.5000, 0.0000, 0.8696)  8 Sc 3.22-3.31, 2 In 3.23, 2 Ce 3.31
Sc (0.5000, 0.5000, 0.0000)  4 Ce 3.22, 8 Sc 3.31
Sc (0.0000, 0.5000, 0.3769)  8 Sc 3.18-3.22, 4 In 3.19-3.21
Sc (0.0000, 0.5000, 0.1304)  8 Sc 3.22-3.31, 2 In 3.23, 2 Ce 3.31
Sc (0.5000, 0.5000, 0.7437)  8 Sc 3.18-3.25, 4 In 3.22
Ce (0.0000, 0.0000, 0.0000)  12 Sc 3.22-3.31

Output
The density of states at the Fermi level is 26.58 states/eV/cell. The formation energy comes out at -4.09 kcal/mol of atoms. The value obtained for the total DFT energy (no corrections) is -5.810 eV per atom.

---

Crystalline RbZr2I2 at its relaxed geometry, computed with GGA-PBE.

a b c (Å): 5.7666 5.7666 6.2934
angles (deg): 62.73 62.73 90.00
Closest atoms and distances in Å follow each position.
Positions (direct):
I (0.2500, 0.7500, 0.5000)  4 Zr 3.11
I (0.7500, 0.2500, 0.5000)  4 Zr 3.11
Rb (0.0000, 0.0000, 0.0000)  2 Zr 3.56, 8 I 3.75
Zr (0.3717, 0.3717, 0.2565)  1 Zr 2.46
Zr (0.6283, 0.6283, 0.7435)  1 Zr 2.46

Output
The density of states at the Fermi level is 4.81 states/eV/cell. The excess energy over the best structure of this formula in the dataset is 0.0000 eV/atom. The calculation puts the formation energy (no corrections) at 0.0744 eV per atom. The value obtained for the total DFT energy (no corrections) is -4.158 eV per atom.

---

Crystalline CsKZnI4 at its relaxed geometry, computed with GGA-PBE.

a b c (Å): 8.0860 8.2996 10.4936
angles (deg): 90.00 108.58 90.00
Closest atoms and distances in Å follow each position.
Positions (direct):
I (0.4030, 0.7500, 0.5638)  1 Zn 2.62
I (0.9960, 0.4985, 0.2596)  1 Zn 2.65
I (0.0040, 0.9985, 0.7404)  1 Zn 2.65
I (0.5970, 0.2500, 0.4362)  1 Zn 2.62
I (0.0040, 0.5015, 0.7404)  1 Zn 2.65
I (0.6030, 0.2500, 0.8564)  1 Zn 2.65
I (0.9960, 0.0015, 0.2596)  1 Zn 2.65
I (0.3970, 0.7500, 0.1436)  1 Zn 2.65
Zn (0.7905, 0.2500, 0.6900)  4 I 2.62-2.65
Zn (0.2095, 0.7500, 0.3100)  4 I 2.62-2.65
K (0.2293, 0.2500, 0.5536)  6 I 3.56-3.71
K (0.7707, 0.7500, 0.4464)  6 I 3.56-3.71
Cs (0.2679, 0.2500, 0.0692)  8 I 3.92-4.29
Cs (0.7321, 0.7500, 0.9308)  8 I 3.92-4.29

Output
The density of states at the Fermi level is 0.00 states/eV/cell. The calculation puts the formation energy (no corrections) at -1.1508 eV per atom. The value obtained for the total DFT energy (no corrections) is -2.497 eV per atom.

---

Crystalline Er4NiPt at its relaxed geometry, computed with GGA-PBE.

a b c (Å): 7.6426 7.6426 7.6426
angles (deg): 105.95 105.95 116.77
Closest atoms and distances in Å follow each position.
Positions (direct):
Pt (0.7475, 0.7475, 0.0000)  6 Er 2.77-2.78
Pt (0.4975, 0.9975, 0.5000)  6 Er 2.77-2.78
Er (0.2418, 0.5375, 0.2957)  2 Ni 2.69-2.72, 1 Pt 2.78
Er (0.8105, 0.0084, 0.8021)  1 Ni 2.67, 2 Pt 2.77-2.78
Er (0.2875, 0.4918, 0.7957)  2 Ni 2.69-2.72, 1 Pt 2.78
Er (0.6961, 0.4918, 0.2043)  2 Ni 2.69-2.72, 1 Pt 2.78
Er (0.2418, 0.9461, 0.7043)  2 Ni 2.69-2.72, 1 Pt 2.78
Er (0.7584, 0.4563, 0.6979)  1 Ni 2.67, 2 Pt 2.77-2.78
Er (0.2063, 0.0084, 0.1979)  1 Ni 2.67, 2 Pt 2.77-2.78
Er (0.7584, 0.0605, 0.3021)  1 Ni 2.67, 2 Pt 2.77-2.78
Ni (0.2521, 0.2521, 0.0000)  6 Er 2.67-2.72
Ni (0.0021, 0.5021, 0.5000)  6 Er 2.67-2.72

Output
The density of states at the Fermi level is 11.24 states/eV/cell. The formation energy comes out at -11.46 kcal/mol of atoms. The value obtained for the total DFT energy (no corrections) is -5.509 eV per atom.

---

Crystalline TaBeSb2 at its relaxed geometry, computed with GGA-PBE.

a b c (Å): 3.4895 5.1247 4.4322
angles (deg): 90.00 90.00 90.00
Closest atoms and distances in Å follow each position.
Positions (direct):
Be (0.0000, 0.5000, 0.5000)  4 Sb 2.82, 4 Ta 3.10
Sb (0.5000, 0.5000, 0.0000)  4 Be 2.82, 4 Sb 3.10
Sb (0.0000, 0.0000, 0.0000)  4 Ta 2.82, 4 Sb 3.10
Ta (0.5000, 0.0000, 0.5000)  4 Sb 2.82, 4 Be 3.10

Output
The density of states at the Fermi level is 2.53 states/eV/cell. The calculation puts the formation energy (no corrections) at 0.6644 eV per atom. The value obtained for the total DFT energy (no corrections) is -5.292 eV per atom.

---

Crystalline Sm4YMg5 at its relaxed geometry, computed with GGA-PBE.

a b c (Å): 3.8336 3.8336 19.2409
angles (deg): 90.00 90.00 90.00
Closest atoms and distances in Å follow each position.
Positions (direct):
Mg (0.5000, 0.5000, 0.7016)  8 Sm 3.33
Mg (0.5000, 0.5000, 0.2984)  8 Sm 3.33
Mg (0.5000, 0.5000, 0.5000)  8 Sm 3.33
Mg (0.5000, 0.5000, 0.0972)  4 Y 3.29, 4 Sm 3.34
Mg (0.5000, 0.5000, 0.9028)  4 Y 3.29, 4 Sm 3.34
Sm (0.0000, 0.0000, 0.3991)  8 Mg 3.33
Sm (0.0000, 0.0000, 0.8018)  8 Mg 3.33-3.34
Sm (0.0000, 0.0000, 0.1982)  8 Mg 3.33-3.34
Sm (0.0000, 0.0000, 0.6009)  8 Mg 3.33
Y (0.0000, 0.0000, 0.0000)  8 Mg 3.29

Output
The density of states at the Fermi level is 12.97 states/eV/cell. The formation energy comes out at -2.34 kcal/mol of atoms. The value obtained for the total DFT energy (no corrections) is -3.433 eV per atom.

---

Crystalline BeCo2Mo2 at its relaxed geometry, computed with GGA-PBE.

a b c (Å): 6.9594 6.9594 2.7106
angles (deg): 90.00 90.00 90.00
Closest atoms and distances in Å follow each position.
Positions (direct):
Mo (0.6743, 0.8257, 0.5000)  6 Co 2.41-2.50
Mo (0.8257, 0.3257, 0.5000)  6 Co 2.41-2.50
Mo (0.3257, 0.1743, 0.5000)  6 Co 2.41-2.50
Mo (0.1743, 0.6743, 0.5000)  6 Co 2.41-2.50
Co (0.8771, 0.6229, 0.0000)  6 Mo 2.41-2.50, 1 Co 2.42
Co (0.3771, 0.8771, 0.0000)  6 Mo 2.41-2.50, 1 Co 2.42
Co (0.6229, 0.1229, 0.0000)  6 Mo 2.41-2.50, 1 Co 2.42
Co (0.1229, 0.3771, 0.0000)  6 Mo 2.41-2.50, 1 Co 2.42
Be (0.0000, 0.0000, 0.0000)  2 Be 2.71, 4 Co 2.76, 8 Mo 2.91
Be (0.5000, 0.5000, 0.0000)  2 Be 2.71, 4 Co 2.76, 8 Mo 2.91

Output
The density of states at the Fermi level is 5.97 states/eV/cell. The formation energy comes out at 5.38 kcal/mol of atoms. The value obtained for the total DFT energy (no corrections) is -7.687 eV per atom.

---

Crystalline Ti2I3O at its relaxed geometry, computed with GGA-PBE.

a b c (Å): 3.6876 10.3488 10.7291
angles (deg): 113.83 90.00 100.26
Closest atoms and distances in Å follow each position.
Positions (direct):
I (0.0672, 0.1344, 0.2537)  3 Ti 2.83-2.88
I (0.6290, 0.2581, 0.9288)  2 Ti 2.90, 1 O 3.03
I (0.8193, 0.6386, 0.3705)  3 Ti 2.85-2.95
I (0.1807, 0.3614, 0.6295)  3 Ti 2.85-2.95
I (0.3710, 0.7419, 0.0712)  2 Ti 2.90, 1 O 3.03
I (0.9328, 0.8656, 0.7463)  3 Ti 2.83-2.88
Ti (0.4343, 0.8685, 0.5414)  2 O 2.00
Ti (0.5657, 0.1315, 0.4586)  2 O 2.00
Ti (0.0610, 0.1220, 0.7031)  2 O 2.01
Ti (0.9390, 0.8780, 0.2969)  2 O 2.01
O (0.5422, 0.0844, 0.6223)  4 Ti 2.00-2.01
O (0.4578, 0.9156, 0.3777)  4 Ti 2.00-2.01

Output
The density of states at the Fermi level is 4.21 states/eV/cell. The calculation puts the formation energy (no corrections) at -1.3039 eV per atom. The value obtained for the total DFT energy (no corrections) is -5.537 eV per atom.

---

Crystalline RhSeCl2 at its relaxed geometry, computed with GGA-PBE.

a b c (Å): 12.3776 12.3776 12.3776
angles (deg): 13.59 13.59 13.59
Closest atoms and distances in Å follow each position.
Positions (direct):
Cl (0.9398, 0.9398, 0.9398)  1 Rh 2.22
Cl (0.0602, 0.0602, 0.0602)  1 Rh 2.22
Se (0.5000, 0.5000, 0.5000)  6 Se 2.93
Rh (0.0000, 0.0000, 0.0000)  2 Cl 2.22

Output
The density of states at the Fermi level is 4.95 states/eV/cell. The excess energy over the best structure of this formula in the dataset is 0.5881 eV/atom. The calculation puts the formation energy (no corrections) at 0.2219 eV per atom. The value obtained for the total DFT energy (no corrections) is -3.410 eV per atom.

---

Crystalline LaMn2Se at its relaxed geometry, computed with GGA-PBE.

a b c (Å): 5.1965 5.1965 5.1965
angles (deg): 127.78 127.78 76.98
Closest atoms and distances in Å follow each position.
Positions (direct):
Mn (0.2500, 0.7500, 0.5000)  4 Mn 3.06, 4 Se 3.06, 4 La 3.23
Mn (0.0000, 0.0000, 0.0000)  4 Mn 3.06, 4 La 3.06, 4 Se 3.23
Se (0.5000, 0.5000, 0.0000)  4 La 3.06, 8 Mn 3.06-3.23
La (0.7500, 0.2500, 0.5000)  4 Se 3.06, 8 Mn 3.06-3.23

Output
The density of states at the Fermi level is 4.73 states/eV/cell. The calculation puts the formation energy (no corrections) at 0.0651 eV per atom. The value obtained for the total DFT energy (no corrections) is -6.623 eV per atom.

---

Crystalline PuZnSb at its relaxed geometry, computed with GGA-PBE.

a b c (Å): 3.2916 4.9269 4.9269
angles (deg): 120.00 90.00 90.00
Closest atoms and distances in Å follow each position.
Positions (direct):
Sb (0.1670, 0.3333, 0.6667)  3 Zn 2.84
Pu (0.6668, 0.6667, 0.3333)  6 Zn 3.29, 6 Sb 3.29, 2 Pu 3.29
Zn (0.1662, 0.0000, 0.0000)  3 Sb 2.84

Output
The density of states at the Fermi level is 7.73 states/eV/cell. The calculation puts the formation energy (no corrections) at -0.2733 eV per atom. The value obtained for the total DFT energy (no corrections) is -6.849 eV per atom.

---

Crystalline Rb2LaZrBr at its relaxed geometry, computed with GGA-PBE.

a b c (Å): 6.1467 6.1467 6.1816
angles (deg): 90.00 90.00 90.00
Closest atoms and distances in Å follow each position.
Positions (direct):
Br (0.0000, 0.0000, 0.0000)  4 Rb 3.07, 2 La 3.09
Rb (0.5000, 0.0000, 0.0000)  2 Br 3.07
Rb (0.0000, 0.5000, 0.0000)  2 Br 3.07
La (0.0000, 0.0000, 0.5000)  2 Br 3.09
Zr (0.5000, 0.5000, 0.5000)  4 La 4.35, 8 Rb 4.36

Output
The density of states at the Fermi level is 6.27 states/eV/cell. The calculation puts the formation energy (no corrections) at 0.4079 eV per atom. The value obtained for the total DFT energy (no corrections) is -3.009 eV per atom.

---

no.,magnetic moment (μB/f.u.)
1,5.298
2,0.014
3,0.000
4,0.000
5,0.000
6,0.000
7,0.000
8,1.011
9,0.000
10,7.454
11,5.731
12,5.513